(1)
This record from the Open Quantum Materials Database describes crystalline BeCoO3 at its relaxed geometry. The functional is GGA+U.

Geometry as extended XYZ:
```
5
Lattice="3.594 0.000 0.000 0.000 3.594 0.000 0.000 0.000 3.594" Properties=species:S:1:pos:R:3 pbc="T T T"
Co 1.797 1.797 1.797
O 0.000 1.797 1.797
O 1.797 0.000 1.797
O 1.797 1.797 0.000
Be 0.000 0.000 0.000
```

(2)
This record from the Open Quantum Materials Database describes crystalline BeCoO3 at its relaxed geometry. The functional is GGA+U.

Geometry as extended XYZ:
```
5
Lattice="3.433 0.000 0.000 0.000 3.433 0.000 0.000 0.000 3.433" Properties=species:S:1:pos:R:3 pbc="T T T"
Co 0.000 0.000 0.000
Be 1.717 1.717 1.717
O 1.717 1.717 0.000
O 0.000 1.717 1.717
O 1.717 0.000 1.717
```

no.,raw total energy (eV per formula unit)
1,-24.35
2,-27.00